1.
ErHfTcAu after structural relaxation, computed with PBE.

For the total energy, the calculation gives -7.44 eV per atom. For the total magnetic moment, the calculation gives 0.000 μB/atom.

a = 6.7941 Å, b = 6.7941 Å, c = 6.7941 Å
α = 90.00°, β = 90.00°, γ = 90.00°
Closest atoms and distances in Å follow each position.
Space group F-43m (No. 216)
Inequivalent atoms, fractional coordinates:
1 Er 0.0000 0.0000 0.0000  4 Tc 2.94, 4 Au 2.94
2 Hf 0.0000 0.0000 0.5000  4 Au 2.94, 4 Tc 2.94
3 Tc 0.2500 0.2500 0.2500  4 Hf 2.94, 4 Er 2.94
4 Au 0.2500 0.2500 0.7500  4 Hf 2.94, 4 Er 2.94

2.
CePr2AlN after structural relaxation, computed with PBE.

For the total magnetic moment, the calculation gives 0.112 μB/atom. As for the uncorrected formation energy: -712 meV/atom.

a = 5.0784 Å, b = 5.0784 Å, c = 4.7880 Å
α = 90.00°, β = 90.00°, γ = 90.00°
Closest atoms and distances in Å follow each position.
Space group P4/mmm (No. 123)
Inequivalent atoms, fractional coordinates:
1 Ce 0.0000 0.0000 0.0000  2 N 2.39
2 Pr 0.0000 0.5000 0.5000  2 N 2.54
3 Al 0.5000 0.5000 0.0000  8 Pr 3.49, 4 Ce 3.59
4 N 0.0000 0.0000 0.5000  2 Ce 2.39, 4 Pr 2.54

3.
PmDyY4 after structural relaxation, computed with PBE.

For the total magnetic moment, the calculation gives 0.000 μB/atom. The value obtained for the energy above the most stable polymorph in this dataset is 0 meV/atom.

a = 5.6777 Å, b = 9.8453 Å, c = 6.9395 Å
α = 90.00°, β = 90.06°, γ = 90.00°
Closest atoms and distances in Å follow each position.
Space group C2/m (No. 12)
Inequivalent atoms, fractional coordinates:
1 Pm 0.0000 0.0000 0.0000  2 Dy 3.47, 12 Y 3.72
2 Dy 0.0000 0.0000 0.5000  2 Pm 3.47, 12 Y 3.70-3.71
3 Y 0.0008 0.3336 0.2526  5 Y 3.28-3.51

4.
Ba2GeAu2 after structural relaxation, computed with PBE.

For the total magnetic moment, the calculation gives 0.000 μB/atom. The value obtained for the energy above the most stable polymorph in this dataset is 185 meV/atom.

a = 3.9795 Å, b = 3.9795 Å, c = 19.4622 Å
α = 90.00°, β = 90.00°, γ = 90.00°
Closest atoms and distances in Å follow each position.
Space group I4/mmm (No. 139)
Inequivalent atoms, fractional coordinates:
1 Ba 0.0000 0.0000 0.1053  4 Au 3.45, 4 Ge 3.48
2 Ge 0.0000 0.0000 0.5000  8 Ba 3.48
3 Au 0.0000 0.5000 0.2500  4 Au 2.81

5.
Ac4Pr5 after structural relaxation, computed with PBE.

For the total magnetic moment, the calculation gives 0.000 μB/atom. The value obtained for the energy above the most stable polymorph in this dataset is 0 meV/atom.

a = 16.6106 Å, b = 11.5584 Å, c = 3.8632 Å
α = 90.00°, β = 103.36°, γ = 90.00°
Closest atoms and distances in Å follow each position.
Space group C2/m (No. 12)
Inequivalent atoms, fractional coordinates:
1 Ac 0.1633 0.1677 0.1636  7 Pr 3.80-3.91, 5 Ac 3.86-3.90
2 Pr 0.0000 0.0000 0.5000  8 Ac 3.80, 4 Pr 3.86-3.94
3 Pr 0.0000 0.3405 0.5000  8 Pr 3.69-3.94, 4 Ac 3.83-3.84
4 Pr 0.1642 0.5000 0.1645  6 Pr 3.76-3.86, 6 Ac 3.84-3.91

6.
Ce3ZrO8 after structural relaxation, computed with PBE.

For the total magnetic moment, the calculation gives 0.000 μB/atom. The value obtained for the energy above the most stable polymorph in this dataset is 0 meV/atom. As for the uncorrected formation energy: -3401 meV/atom.

a = 10.7660 Å, b = 10.8878 Å, c = 5.4362 Å
α = 90.00°, β = 91.16°, γ = 90.00°
Closest atoms and distances in Å follow each position.
Space group C2/c (No. 15)
Inequivalent atoms, fractional coordinates:
1 Ce 0.0000 0.1251 0.2500  8 O 2.27-2.47
2 Ce 0.2444 0.3778 0.2387  8 O 2.29-2.47
3 Zr 0.0000 0.3623 0.7500  6 O 2.10-2.33
4 O 0.1214 0.4830 0.9358  1 Zr 2.10, 1 Ce 2.29
5 O 0.1217 0.2647 0.5206  1 Zr 2.11
6 O 0.1239 0.2414 0.0107  3 Ce 2.27-2.37, 1 Zr 2.33
7 O 0.1275 0.0085 0.4978  4 Ce 2.29-2.44

7.
Sm2Hg after structural relaxation, computed with PBE.

For the total energy, the calculation gives -3.34 eV per atom. For the total magnetic moment, the calculation gives 0.148 μB/atom.

a = 5.2027 Å, b = 5.2027 Å, c = 7.3438 Å
α = 90.00°, β = 90.00°, γ = 90.00°
Closest atoms and distances in Å follow each position.
Space group I4/mmm (No. 139)
Inequivalent atoms, fractional coordinates:
1 Sm 0.0000 0.5000 0.2500  4 Hg 3.18
2 Hg 0.0000 0.0000 0.0000  8 Sm 3.18

8.
Ca2Tc2Pd after structural relaxation, computed with PBE.

For the total magnetic moment, the calculation gives 0.446 μB/atom. The value obtained for the energy above the most stable polymorph in this dataset is 498 meV/atom.

a = 5.8032 Å, b = 5.8032 Å, c = 7.2956 Å
α = 90.00°, β = 90.00°, γ = 90.00°
Closest atoms and distances in Å follow each position.
Space group I4/mmm (No. 139)
Inequivalent atoms, fractional coordinates:
1 Ca 0.0000 0.5000 0.2500  4 Tc 3.00
2 Tc 0.0000 0.0000 0.1469  1 Tc 2.14
3 Pd 0.0000 0.0000 0.5000  2 Tc 2.58